(1)
# Tl2TcPb | Alexandria via LeMat-Bulk | PBE | optimized geometry
data_Tl2TcPb
_cell_length_a 6.3937
_cell_length_b 6.3937
_cell_length_c 3.3265
_cell_angle_alpha 76.30
_cell_angle_beta 76.30
_cell_angle_gamma 122.25
_symmetry_space_group_name_H-M 'P 1'
_symmetry_Int_Tables_number 1
loop_
_symmetry_equiv_pos_as_xyz
'x,y,z'
loop_
_atom_site_label
_atom_site_fract_x
_atom_site_fract_y
_atom_site_fract_z
Pb1 0.5000 0.0000 0.5000
Tc1 0.0000 0.5000 0.5000
Tl1 0.0000 0.0000 0.0000
Tl2 0.5000 0.5000 0.0000
# Magnetic moment (μB/cell): 2.506
# Energy of formation (kJ per mole of atoms): 71
# DOS(E_F) (states/eV/atom): 0.629

***

(2)
# MgBeW2 | Alexandria via LeMat-Bulk | PBE | optimized geometry
data_MgBeW2
_cell_length_a 4.3434
_cell_length_b 2.6776
_cell_length_c 5.4055
_cell_angle_alpha 73.61
_cell_angle_beta 90.00
_cell_angle_gamma 90.00
_symmetry_space_group_name_H-M 'P 1'
_symmetry_Int_Tables_number 1
loop_
_symmetry_equiv_pos_as_xyz
'x,y,z'
loop_
_atom_site_label
_atom_site_fract_x
_atom_site_fract_y
_atom_site_fract_z
Be1 0.5000 0.2500 0.2500
Mg1 0.5000 0.7500 0.7500
W1 0.0000 0.0288 0.0099
W2 0.0000 0.4712 0.4901
# Magnetic moment (μB/cell): 0.000
# Energy of formation (kJ per mole of atoms): 43
# DOS(E_F) (states/eV/atom): 0.371

***

(3)
# BaLaFe2 | Alexandria via LeMat-Bulk | PBE | optimized geometry
data_BaLaFe2
_cell_length_a 8.3323
_cell_length_b 5.2817
_cell_length_c 3.6609
_cell_angle_alpha 90.12
_cell_angle_beta 63.76
_cell_angle_gamma 129.46
_symmetry_space_group_name_H-M 'P 1'
_symmetry_Int_Tables_number 1
loop_
_symmetry_equiv_pos_as_xyz
'x,y,z'
loop_
_atom_site_label
_atom_site_fract_x
_atom_site_fract_y
_atom_site_fract_z
Ba1 0.5000 0.5000 0.0000
Fe1 0.0000 0.0000 0.0000
Fe2 0.5000 0.0000 0.5000
La1 0.0000 0.5000 0.5000
# Magnetic moment (μB/cell): 3.967
# Energy of formation (kJ per mole of atoms): 65
# DOS(E_F) (states/eV/atom): 2.109

***

(4)
# Ta2CoAs | Alexandria via LeMat-Bulk | PBE | optimized geometry
data_Ta2CoAs
_cell_length_a 5.1552
_cell_length_b 5.1552
_cell_length_c 5.1552
_cell_angle_alpha 137.47
_cell_angle_beta 137.47
_cell_angle_gamma 61.71
_symmetry_space_group_name_H-M 'P 1'
_symmetry_Int_Tables_number 1
loop_
_symmetry_equiv_pos_as_xyz
'x,y,z'
loop_
_atom_site_label
_atom_site_fract_x
_atom_site_fract_y
_atom_site_fract_z
As1 0.5000 0.5000 0.0000
Co1 0.7500 0.2500 0.5000
Ta1 0.0000 0.0000 0.0000
Ta2 0.2500 0.7500 0.5000
# Magnetic moment (μB/cell): 0.002
# Energy of formation (kJ per mole of atoms): -5
# DOS(E_F) (states/eV/atom): 0.934

***

(5)
# TaTc2Mo | Alexandria via LeMat-Bulk | PBE | optimized geometry
data_TaTc2Mo
_cell_length_a 4.4636
_cell_length_b 4.4636
_cell_length_c 4.4636
_cell_angle_alpha 60.00
_cell_angle_beta 60.00
_cell_angle_gamma 60.00
_symmetry_space_group_name_H-M 'P 1'
_symmetry_Int_Tables_number 1
loop_
_symmetry_equiv_pos_as_xyz
'x,y,z'
loop_
_atom_site_label
_atom_site_fract_x
_atom_site_fract_y
_atom_site_fract_z
Mo1 0.0000 0.0000 0.0000
Tc1 0.2500 0.2500 0.2500
Tc2 0.7500 0.7500 0.7500
Ta1 0.5000 0.5000 0.5000
# Magnetic moment (μB/cell): 0.000
# Energy of formation (kJ per mole of atoms): -18
# DOS(E_F) (states/eV/atom): 0.599

***

(6)
# LiPuSeN | Alexandria via LeMat-Bulk | PBE | optimized geometry
data_LiPuSeN
_cell_length_a 3.9162
_cell_length_b 3.9162
_cell_length_c 10.5862
_cell_angle_alpha 79.34
_cell_angle_beta 79.34
_cell_angle_gamma 60.00
_symmetry_space_group_name_H-M 'P 1'
_symmetry_Int_Tables_number 1
loop_
_symmetry_equiv_pos_as_xyz
'x,y,z'
loop_
_atom_site_label
_atom_site_fract_x
_atom_site_fract_y
_atom_site_fract_z
Li1 0.6943 0.6943 0.9170
Li2 0.3057 0.3057 0.0830
Pu1 0.1226 0.1226 0.6321
Pu2 0.8774 0.8774 0.3679
Se1 0.6092 0.6092 0.1724
Se2 0.3908 0.3908 0.8276
N1 0.8067 0.8067 0.5799
N2 0.1933 0.1933 0.4201
# Formation energy (no corrections) (eV per atom): -1.310
# Magnetic moment (μB/cell): 8.000
# DOS(E_F) (states/eV/atom): 1.260